(1)
Entry from the Alexandria database: a relaxed HfPd5 crystal (PBE).

Unit cell a=4.025 b=11.835 c=4.022 alpha=90.00 beta=90.00 gamma=90.00
Space group Cmmm (No. 65)
Symmetry-distinct sites (fractional):
Hf  0.000  0.000  0.000
Pd  0.000  0.166  0.500
Pd  0.000  0.336  0.000
Pd  0.000  0.500  0.500

## Properties
excess energy over the best structure of this formula in the dataset	0.0	meV per atom
energy of formation from the pure elements	-0.63	eV per atom


(2)
Entry from the Alexandria database: a relaxed AlZn2Re crystal (PBE).

Unit cell a=3.633 b=3.633 c=8.633 alpha=90.00 beta=90.00 gamma=90.00
Space group I4/mmm (No. 139)
Symmetry-distinct sites (fractional):
Al  0.000  0.000  0.000
Zn  0.000  0.500  0.250
Re  0.000  0.000  0.500

## Properties
energy of formation from the pure elements	0.00	eV per atom


(3)
Entry from the Alexandria database: a relaxed Ta2RuAu crystal (PBE).

Unit cell a=3.0465 b=3.0465 c=26.4840 alpha=90.00 beta=90.00 gamma=120.00
Space group R3m (No. 160, hexagonal axes)
Symmetry-distinct sites (fractional):
Ta  0.0000  0.0000  0.0000
Ta  0.0000  0.0000  0.2457
Ru  0.0000  0.0000  0.5073
Au  0.0000  0.0000  0.7513

## Properties
excess energy over the best structure of this formula in the dataset	260.0	meV per atom
energy of formation from the pure elements	0.10	eV per atom


(4)
Entry from the Alexandria database: a relaxed Li8TmO6 crystal (PBE).

Unit cell a=5.5967 b=5.5967 c=15.9577 alpha=90.00 beta=90.00 gamma=120.00
Space group R-3 (No. 148, hexagonal axes)
Symmetry-distinct sites (fractional):
Li  0.0000  0.0000  0.1527
Li  0.0177  0.6492  0.3778
Tm  0.0000  0.0000  0.5000
O  0.0084  0.6544  0.2507

## Properties
formation energy without anion corrections	-2028	meV/atom


(5)
Entry from the Alexandria database: a relaxed Zn3Cu8Si crystal (PBE).

Unit cell a=4.497 b=5.221 c=6.920 alpha=78.86 beta=77.16 gamma=73.30
Space group P1 (No. 1)
Symmetry-distinct sites (fractional):
Zn  0.000  0.000  0.000
Zn  0.010  0.159  0.338
Zn  0.485  0.495  0.497
Cu  0.014  0.497  0.999
Cu  0.496  0.162  0.833
Cu  0.499  0.988  0.509
Cu  0.505  0.330  0.164
Cu  0.509  0.826  0.164
Cu  0.984  0.334  0.670
Cu  0.995  0.664  0.334
Cu  0.997  0.828  0.673
Si  0.517  0.656  0.841

## Properties
formation energy without anion corrections	-58	meV/atom


(6)
Entry from the Alexandria database: a relaxed Fe2AgCl crystal (PBE).

Unit cell a=6.763 b=6.763 c=5.831 alpha=90.00 beta=90.00 gamma=90.00
Space group I-42d (No. 122)
Symmetry-distinct sites (fractional):
Fe  0.212  0.250  0.125
Ag  0.000  0.000  0.500
Cl  0.000  0.000  0.000

## Properties
excess energy over the best structure of this formula in the dataset	496.2	meV per atom
formation energy without anion corrections	656	meV/atom


(7)
Entry from the Alexandria database: a relaxed CoTc2Br crystal (PBE).

Unit cell a=6.200 b=6.200 c=6.200 alpha=90.00 beta=90.00 gamma=90.00
Space group F-43m (No. 216)
Symmetry-distinct sites (fractional):
Co  0.000  0.000  0.000
Tc  0.000  0.000  0.500
Tc  0.250  0.250  0.250
Br  0.250  0.250  0.750

## Properties
excess energy over the best structure of this formula in the dataset	522.3	meV per atom
formation energy without anion corrections	977	meV/atom


(8)
Entry from the Alexandria database: a relaxed BaBeHg3 crystal (PBE).

Unit cell a=5.073 b=5.073 c=5.073 alpha=90.00 beta=90.00 gamma=90.00
Space group Pm-3m (No. 221)
Symmetry-distinct sites (fractional):
Ba  0.000  0.000  0.000
Be  0.500  0.500  0.500
Hg  0.000  0.500  0.500

## Properties
excess energy over the best structure of this formula in the dataset	0.0	meV per atom
energy of formation from the pure elements	-0.17	eV per atom


(9)
Entry from the Alexandria database: a relaxed ScAl3Pt crystal (PBE).

Unit cell a=5.003 b=5.003 c=5.003 alpha=90.00 beta=90.00 gamma=90.00
Space group Pm-3m (No. 221)
Symmetry-distinct sites (fractional):
Sc  0.000  0.000  0.000
Al  0.000  0.000  0.500
Pt  0.500  0.500  0.500

## Properties
excess energy over the best structure of this formula in the dataset	2002.1	meV per atom
energy of formation from the pure elements	1.26	eV per atom


(10)
Entry from the Alexandria database: a relaxed LaIn2Se crystal (PBE).

Unit cell a=4.068 b=6.185 c=9.176 alpha=90.00 beta=90.00 gamma=90.00
Space group Cmmm (No. 65)
Symmetry-distinct sites (fractional):
La  0.000  0.000  0.000
In  0.000  0.500  0.288
Se  0.000  0.000  0.500

## Properties
formation energy without anion corrections	-254	meV/atom


(11)
Entry from the Alexandria database: a relaxed KCu2Br crystal (PBE).

Unit cell a=4.7285 b=4.7285 c=17.2756 alpha=90.00 beta=90.00 gamma=120.00
Space group R-3m (No. 166, hexagonal axes)
Symmetry-distinct sites (fractional):
K  0.0000  0.0000  0.0000
Cu  0.0000  0.0000  0.1784
Br  0.0000  0.0000  0.5000

## Properties
excess energy over the best structure of this formula in the dataset	363.2	meV per atom
formation energy without anion corrections	212	meV/atom


(12)
Entry from the Alexandria database: a relaxed ZnInTc2 crystal (PBE).

Unit cell a=3.309 b=3.309 c=5.931 alpha=90.00 beta=90.00 gamma=90.00
Space group P4/mmm (No. 123)
Symmetry-distinct sites (fractional):
Zn  0.000  0.000  0.000
In  0.000  0.000  0.500
Tc  0.500  0.500  0.205

## Properties
excess energy over the best structure of this formula in the dataset	254.6	meV per atom
energy of formation from the pure elements	0.32	eV per atom


(13)
Entry from the Alexandria database: a relaxed BeOsI2 crystal (PBE).

Unit cell a=5.812 b=5.812 c=11.580 alpha=90.00 beta=90.00 gamma=90.00
Space group I-42d (No. 122)
Symmetry-distinct sites (fractional):
Be  0.000  0.000  0.000
Os  0.000  0.000  0.500
I  0.231  0.250  0.125

## Properties
excess energy over the best structure of this formula in the dataset	0.0	meV per atom
formation energy without anion corrections	1049	meV/atom


(14)
Entry from the Alexandria database: a relaxed Ac5Tb4Ho crystal (PBE).

Unit cell a=3.863 b=3.863 c=25.314 alpha=90.00 beta=90.00 gamma=90.00
Space group P4/mmm (No. 123)
Symmetry-distinct sites (fractional):
Ac  0.000  0.000  0.000
Ac  0.000  0.000  0.201
Ac  0.000  0.000  0.401
Tb  0.500  0.500  0.100
Tb  0.500  0.500  0.301
Ho  0.500  0.500  0.500

## Properties
energy of formation from the pure elements	0.05	eV per atom


(15)
Entry from the Alexandria database: a relaxed ErH8Ir2 crystal (PBE).

Unit cell a=4.447 b=4.447 c=4.592 alpha=90.00 beta=90.00 gamma=90.00
Space group P4/mmm (No. 123)
Symmetry-distinct sites (fractional):
Er  0.000  0.000  0.000
H  0.280  0.280  0.298
Ir  0.000  0.500  0.500


(16)
Entry from the Alexandria database: a relaxed YRe2As crystal (PBE).

Unit cell a=3.292 b=4.156 c=5.579 alpha=90.00 beta=90.00 gamma=90.00
Space group Pmm2 (No. 25)
Symmetry-distinct sites (fractional):
Y  0.000  0.000  0.000
Re  0.000  0.500  0.433
Re  0.500  0.000  0.463
As  0.500  0.500  0.781

## Properties
energy of formation from the pure elements	-0.03	eV per atom


(17)
Entry from the Alexandria database: a relaxed PrLuSb crystal (PBE).

Unit cell a=3.986 b=3.986 c=11.110 alpha=90.00 beta=90.00 gamma=90.00
Space group I4mm (No. 107)
Symmetry-distinct sites (fractional):
Pr  0.000  0.000  0.000
Lu  0.000  0.000  0.698
Sb  0.000  0.000  0.329

## Properties
formation energy without anion corrections	-605	meV/atom


(18)
Entry from the Alexandria database: a relaxed V2PtC crystal (PBE).

Unit cell a=2.8956 b=2.8956 c=19.8021 alpha=90.00 beta=90.00 gamma=120.00
Space group R-3m (No. 166, hexagonal axes)
Symmetry-distinct sites (fractional):
V  0.0000  0.0000  0.2228
Pt  0.0000  0.0000  0.0000
C  0.0000  0.0000  0.5000

## Properties
energy of formation from the pure elements	-0.56	eV per atom


(19)
Entry from the Alexandria database: a relaxed Mg2InAs crystal (PBE).

Unit cell a=3.2203 b=3.2203 c=30.1833 alpha=90.00 beta=90.00 gamma=120.00
Space group R3m (No. 160, hexagonal axes)
Symmetry-distinct sites (fractional):
Mg  0.0000  0.0000  0.0000
Mg  0.0000  0.0000  0.2471
In  0.0000  0.0000  0.7506
As  0.0000  0.0000  0.5092

## Properties
excess energy over the best structure of this formula in the dataset	290.8	meV per atom
energy of formation from the pure elements	0.01	eV per atom


(20)
Entry from the Alexandria database: a relaxed U2As7Ru12 crystal (PBE).

Unit cell a=9.8800 b=9.8800 c=3.9093 alpha=90.00 beta=90.00 gamma=120.00
Space group P-6 (No. 174)
Symmetry-distinct sites (fractional):
U  0.0000  0.0000  0.0000
U  0.3333  0.6667  0.5000
As  0.0707  0.4460  0.0000
As  0.2639  0.2223  0.5000
As  0.6667  0.3333  0.0000
Ru  0.0469  0.2678  0.5000
Ru  0.1126  0.7083  0.0000
Ru  0.3934  0.1839  0.0000
Ru  0.5367  0.4436  0.5000

## Properties
energy of formation from the pure elements	-0.32	eV per atom


(21)
Entry from the Alexandria database: a relaxed CaTe2H crystal (PBE).

Unit cell a=4.9175 b=4.9175 c=19.9795 alpha=90.00 beta=90.00 gamma=120.00
Space group R-3m (No. 166, hexagonal axes)
Symmetry-distinct sites (fractional):
Ca  0.0000  0.0000  0.0000
Te  0.0000  0.0000  0.4042
H  0.0000  0.0000  0.5000

## Properties
excess energy over the best structure of this formula in the dataset	0.0	meV per atom


(22)
Entry from the Alexandria database: a relaxed InBIr2Ru crystal (PBE).

Unit cell a=4.145 b=4.145 c=4.198 alpha=90.00 beta=90.00 gamma=90.00
Space group P4/mmm (No. 123)
Symmetry-distinct sites (fractional):
In  0.000  0.000  0.000
B  0.500  0.500  0.500
Ir  0.000  0.500  0.500
Ru  0.500  0.500  0.000

## Properties
energy of formation from the pure elements	-0.09	eV per atom


(23)
Entry from the Alexandria database: a relaxed NaPrInPd crystal (PBE).

Unit cell a=7.150 b=7.150 c=7.150 alpha=90.00 beta=90.00 gamma=90.00
Space group F-43m (No. 216)
Symmetry-distinct sites (fractional):
Na  0.000  0.000  0.000
Pr  0.250  0.250  0.750
In  0.250  0.250  0.250
Pd  0.000  0.000  0.500

## Properties
energy of formation from the pure elements	-0.38	eV per atom


(24)
Entry from the Alexandria database: a relaxed BaTe2P crystal (PBE).

Unit cell a=4.214 b=6.104 c=9.647 alpha=90.00 beta=90.00 gamma=90.00
Space group Imm2 (No. 44)
Symmetry-distinct sites (fractional):
Ba  0.000  0.000  0.000
Te  0.000  0.000  0.454
Te  0.000  0.500  0.199
P  0.000  0.500  0.784

## Properties
formation energy without anion corrections	-510	meV/atom


(25)
Entry from the Alexandria database: a relaxed Cr2Ni6Pt crystal (PBE).

Unit cell a=12.469 b=6.884 c=2.503 alpha=90.00 beta=101.39 gamma=90.00
Space group C2/m (No. 12)
Symmetry-distinct sites (fractional):
Cr  0.153  0.000  0.151
Ni  0.000  0.168  0.500
Ni  0.174  0.323  0.675
Pt  0.000  0.500  0.000

## Properties
excess energy over the best structure of this formula in the dataset	129.1	meV per atom
energy of formation from the pure elements	0.08	eV per atom


(26)
Entry from the Alexandria database: a relaxed AlH2Au crystal (PBE).

Unit cell a=5.534 b=5.534 c=5.534 alpha=90.00 beta=90.00 gamma=90.00
Space group Fm-3m (No. 225)
Symmetry-distinct sites (fractional):
Al  0.000  0.000  0.000
H  0.250  0.250  0.250
Au  0.000  0.000  0.500

## Properties
excess energy over the best structure of this formula in the dataset	309.6	meV per atom


(27)
Entry from the Alexandria database: a relaxed BIrO crystal (PBE).

Unit cell a=4.837 b=2.792 c=5.112 alpha=90.00 beta=108.47 gamma=90.00
Space group Cm (No. 8)
Symmetry-distinct sites (fractional):
B  0.000  0.000  0.000
Ir  0.229  0.000  0.690
O  0.089  0.000  0.265

## Properties
formation energy without anion corrections	-599	meV/atom


Size of the total moment / Bohr magnetons per cell: 0.0, 0.0, 0.0, 3.0, 0.0, 24.6, 7.5, 0.0, 0.0, 0.0, 0.0, 0.0, 0.0, 0.0, 0.0, 0.0, 1.9, 0.0, 0.0, 2.2, 0.0, 0.0, 0.0, 0.0, 0.0, 0.0, 1.4
E / eV per atom: -6.617, -4.686, -8.968, -5.330, -3.559, -4.750, -6.401, -1.476, -3.457, -3.727, -2.528, -5.866, -3.465, -4.314, -4.561, -9.028, -5.079, -8.932, -2.630, -8.246, -3.398, -7.377, -3.890, -3.914, -6.579, -2.799, -7.431